[1]
Below is crystalline Ba4IrOs at its relaxed geometry, with properties calculated at the GGA-PBE level.

Results
The value obtained for the total energy is -3.07 eV per atom. The value obtained for the formation energy is 9.39 eV per formula unit. Its volume is 33.35 A^3/atom.

Unit cell a=6.5651 b=6.5651 c=6.5651 alpha=60.00 beta=60.00 gamma=60.00
Closest atoms and distances in Å follow each position.
Element x y z (fractional)
1 Ba 0.3751 0.3751 0.3751  6 Ba 3.28-3.29
2 Ba 0.3751 0.3751 0.8747  6 Ba 3.28-3.29
3 Ba 0.3751 0.8747 0.3751  6 Ba 3.28-3.29
4 Ba 0.8747 0.3751 0.3751  6 Ba 3.28-3.29
5 Os 0.0000 0.0000 0.0000  12 Ba 3.85, 4 Ir 4.02
6 Ir 0.7500 0.7500 0.7500  12 Ba 3.85, 4 Os 4.02


[2]
Below is crystalline BaIrOs3 at its relaxed geometry, with properties calculated at the GGA-PBE level.

Results
The value obtained for the total energy is -4.68 eV per atom. The value obtained for the formation energy is 21.09 eV per formula unit. Its volume is 23.18 A^3/atom. The calculation puts the energy relative to the lowest polymorph listed for this composition at 2594 meV/atom.

Unit cell a=4.8753 b=4.8753 c=4.8753 alpha=90.00 beta=90.00 gamma=90.00
Closest atoms and distances in Å follow each position.
Element x y z (fractional)
1 Ba 0.0000 0.0000 0.0000  6 Os 2.44
2 Os 0.0000 0.0000 0.5000  2 Ba 2.44
3 Os 0.5000 0.0000 0.0000  2 Ba 2.44
4 Os 0.0000 0.5000 0.0000  2 Ba 2.44
5 Ir 0.5000 0.5000 0.5000  12 Os 3.45


[3]
Below is crystalline Ba2IrOs at its relaxed geometry, with properties calculated at the GGA-PBE level.

Results
The value obtained for the total energy is -5.44 eV per atom. The value obtained for the formation energy is 2.19 eV per formula unit. Its volume is 40.32 A^3/atom. The calculation puts the energy relative to the lowest polymorph listed for this composition at 497 meV/atom.

Unit cell a=11.5884 b=11.5884 c=8.5390 alpha=47.27 beta=47.27 gamma=90.00
Closest atoms and distances in Å follow each position.
Element x y z (fractional)
1 Ba 0.9526 0.6250 0.2500  2 Ir 3.09
2 Ba 0.3750 0.2026 0.7500  2 Ir 3.09
3 Ba 0.7974 0.1250 0.2500  2 Ir 3.09
4 Ba 0.8750 0.0474 0.7500  2 Ir 3.09
5 Ir 0.0000 0.0000 0.0000  2 Os 2.40
6 Ir 0.7500 0.2500 0.5000  2 Os 2.40
7 Os 0.5000 0.5000 0.0000  2 Ir 2.40
8 Os 0.2500 0.7500 0.5000  2 Ir 2.40


[4]
Below is crystalline Ba2IrOs at its relaxed geometry, with properties calculated at the GGA-PBE level.

Results
The value obtained for the total energy is -5.65 eV per atom. The value obtained for the formation energy is 1.35 eV per formula unit. Its volume is 30.89 A^3/atom. The calculation puts the energy relative to the lowest polymorph listed for this composition at 285 meV/atom.

Unit cell a=5.9643 b=5.9643 c=5.9643 alpha=134.28 beta=123.35 gamma=75.64
Closest atoms and distances in Å follow each position.
Element x y z (fractional)
1 Os 0.3491 0.8491 0.5000  2 Ir 2.37
2 Ir 0.4026 0.4026 0.0000  2 Os 2.37
3 Ba 0.7204 0.2204 0.5000  2 Ir 3.31, 2 Ba 3.36, 1 Os 3.50
4 Ba 0.0278 0.0278 0.0000  2 Os 3.29, 2 Ba 3.36, 1 Ir 3.53


[5]
Below is crystalline Ba2IrOs at its relaxed geometry, with properties calculated at the GGA-PBE level.

Results
The value obtained for the total energy is -4.96 eV per atom. The value obtained for the formation energy is 4.11 eV per formula unit. Its volume is 25.55 A^3/atom. The calculation puts the energy relative to the lowest polymorph listed for this composition at 976 meV/atom.

Unit cell a=5.2482 b=5.2482 c=5.2482 alpha=60.00 beta=60.00 gamma=60.00
Closest atoms and distances in Å follow each position.
Element x y z (fractional)
1 Ba 0.0000 0.0000 0.0000  4 Ba 3.21, 4 Os 3.21
2 Ba 0.2500 0.2500 0.2500  4 Ba 3.21, 4 Ir 3.21
3 Os 0.7500 0.7500 0.7500  4 Ba 3.21, 4 Ir 3.21
4 Ir 0.5000 0.5000 0.5000  4 Os 3.21, 4 Ba 3.21


[6]
Below is crystalline Ba2IrOs at its relaxed geometry, with properties calculated at the GGA-PBE level.

Results
The value obtained for the total energy is -4.95 eV per atom. The value obtained for the formation energy is 4.15 eV per formula unit. Its volume is 27.27 A^3/atom. The calculation puts the energy relative to the lowest polymorph listed for this composition at 986 meV/atom.

Unit cell a=5.3631 b=5.3631 c=5.3631 alpha=60.00 beta=60.00 gamma=60.00
Closest atoms and distances in Å follow each position.
Element x y z (fractional)
1 Ba 0.7500 0.7500 0.7500  4 Ir 3.28, 4 Os 3.28
2 Ba 0.2500 0.2500 0.2500  4 Os 3.28, 4 Ir 3.28
3 Os 0.0000 0.0000 0.0000  8 Ba 3.28
4 Ir 0.5000 0.5000 0.5000  8 Ba 3.28


[7]
Below is crystalline BaIrOs3 at its relaxed geometry, with properties calculated at the GGA-PBE level.

Results
The value obtained for the total energy is -7.27 eV per atom. The value obtained for the formation energy is 8.12 eV per formula unit. Its volume is 22.87 A^3/atom. The calculation puts the energy relative to the lowest polymorph listed for this composition at 0 meV/atom.

Unit cell a=4.8540 b=4.8540 c=4.8540 alpha=90.00 beta=90.00 gamma=90.00
Closest atoms and distances in Å follow each position.
Element x y z (fractional)
1 Os 0.0000 0.5000 0.0000  2 Ir 2.43
2 Os 0.0000 0.0000 0.5000  2 Ir 2.43
3 Os 0.5000 0.0000 0.0000  2 Ir 2.43
4 Ba 0.5000 0.5000 0.5000  12 Os 3.43
5 Ir 0.0000 0.0000 0.0000  6 Os 2.43


[8]
Below is crystalline Ba2IrOs at its relaxed geometry, with properties calculated at the GGA-PBE level.

Results
The value obtained for the total energy is -5.93 eV per atom. The value obtained for the formation energy is 0.21 eV per formula unit. Its volume is 36.64 A^3/atom. The calculation puts the energy relative to the lowest polymorph listed for this composition at 0 meV/atom.

Unit cell a=4.3497 b=4.3497 c=9.1863 alpha=77.51 beta=77.51 gamma=60.58
Closest atoms and distances in Å follow each position.
Element x y z (fractional)
1 Ir 0.5514 0.5514 0.3744  3 Os 2.45-2.66
2 Ba 0.9534 0.9534 0.1229  3 Os 3.30-3.42, 3 Ir 3.31-3.40
3 Ba 0.7981 0.7981 0.6270  3 Os 3.29-3.41, 3 Ir 3.31-3.41
4 Os 0.1971 0.1971 0.3757  3 Ir 2.45-2.66


[9]
Below is crystalline Ba2IrOs at its relaxed geometry, with properties calculated at the GGA-PBE level.

Results
The value obtained for the total energy is -5.84 eV per atom. The value obtained for the formation energy is 0.59 eV per formula unit. Its volume is 31.87 A^3/atom. The calculation puts the energy relative to the lowest polymorph listed for this composition at 96 meV/atom.

Unit cell a=4.4435 b=5.0543 c=6.2119 alpha=66.01 beta=90.00 gamma=90.00
Closest atoms and distances in Å follow each position.
Element x y z (fractional)
1 Ba 0.5000 0.2686 0.3376  3 Os 3.27-3.60, 4 Ir 3.56
2 Ba 0.0000 0.9795 0.9160  3 Ir 3.30-3.55, 4 Os 3.57
3 Ir 0.0000 0.6663 0.5422  2 Os 2.40
4 Os 0.5000 0.5856 0.7042  2 Ir 2.40


[10]
Below is crystalline Ba2IrOs at its relaxed geometry, with properties calculated at the GGA-PBE level.

Results
The value obtained for the total energy is -4.80 eV per atom. The value obtained for the formation energy is 4.73 eV per formula unit. Its volume is 25.97 A^3/atom. The calculation puts the energy relative to the lowest polymorph listed for this composition at 1130 meV/atom.

Unit cell a=10.0239 b=10.0239 c=10.0239 alpha=20.08 beta=20.08 gamma=20.08
Closest atoms and distances in Å follow each position.
Element x y z (fractional)
1 Ba 0.5005 0.5005 0.5005  3 Ir 3.17, 3 Os 3.19, 6 Ba 3.50
2 Ba 0.9995 0.9995 0.9995  3 Ir 3.17, 3 Os 3.19, 6 Ba 3.50
3 Os 0.7500 0.7500 0.7500  6 Ba 3.19, 6 Os 3.50
4 Ir 0.2500 0.2500 0.2500  6 Ba 3.17, 6 Ir 3.50


[11]
Below is crystalline Ba2IrOs at its relaxed geometry, with properties calculated at the GGA-PBE level.

Results
The value obtained for the total energy is -5.52 eV per atom. The value obtained for the formation energy is 1.86 eV per formula unit. Its volume is 29.97 A^3/atom. The calculation puts the energy relative to the lowest polymorph listed for this composition at 412 meV/atom.

Unit cell a=3.1776 b=3.9019 c=9.6705 alpha=90.00 beta=90.00 gamma=90.00
Closest atoms and distances in Å follow each position.
Element x y z (fractional)
1 Ir 0.0000 0.0000 0.5855  4 Os 2.62
2 Ba 0.0000 0.0000 0.9102  1 Ir 3.14, 2 Ba 3.18, 4 Os 3.47
3 Ba 0.5000 0.5000 0.3418  1 Os 3.10, 2 Ba 3.18, 4 Ir 3.45
4 Os 0.5000 0.5000 0.6625  4 Ir 2.62


[12]
Below is crystalline Ba2IrOs at its relaxed geometry, with properties calculated at the GGA-PBE level.

Results
The value obtained for the total energy is -4.91 eV per atom. The value obtained for the formation energy is 4.30 eV per formula unit. Its volume is 26.41 A^3/atom. The calculation puts the energy relative to the lowest polymorph listed for this composition at 1024 meV/atom.

Unit cell a=5.9135 b=5.9135 c=5.9135 alpha=133.89 beta=133.89 gamma=67.27
Closest atoms and distances in Å follow each position.
Element x y z (fractional)
1 Ba 0.0000 0.0000 0.0000  4 Ir 3.28, 4 Os 3.38, 4 Ba 3.38
2 Ba 0.2500 0.7500 0.5000  4 Os 3.28, 4 Ba 3.38, 4 Ir 3.38
3 Os 0.7500 0.2500 0.5000  8 Ba 3.28-3.38, 4 Ir 3.38
4 Ir 0.5000 0.5000 0.0000  8 Ba 3.28-3.38, 4 Os 3.38